No. 1
The following is a DFT calculation (PBE-GGA) of a geometry-optimized HoAsF structure.

Output
Space group = P-1
ΔE_f (raw) = -2.347 eV per atom
Energy above the most stable polymorph in this dataset = 0 meV/atom

Cell lengths 3.908, 5.379, 6.537 Å; angles 110.14, 90.05, 110.64 degrees
Fractional positions:
Ho1 0.184 0.367 0.230
Ho2 0.816 0.633 0.770
As1 0.482 0.903 0.149
As2 0.518 0.097 0.851
F1 0.209 0.413 0.593
F2 0.791 0.587 0.407

---

No. 2
The following is a DFT calculation (PBE-GGA) of a geometry-optimized Ti5Os6W structure.

Output
Space group = Immm
Formation energy from the elements = -543 meV/atom

Cell lengths 7.595, 7.595, 7.595 Å; angles 146.48, 131.91, 59.89 degrees
Fractional positions:
Ti1 0.000 0.000 0.000
Ti2 0.168 0.668 0.500
Ti3 0.335 0.335 0.000
Ti4 0.665 0.665 0.000
Ti5 0.832 0.332 0.500
Os1 0.082 0.833 0.249
Os2 0.247 0.500 0.747
Os3 0.416 0.167 0.249
Os4 0.584 0.833 0.751
Os5 0.753 0.500 0.253
Os6 0.918 0.167 0.751
W1 0.500 0.000 0.500

---

No. 3
The following is a DFT calculation (PBE-GGA) of a geometry-optimized DyEr2Se4 structure.

Output
Space group = Cmcm
ΔE_f (raw) = -1.819 eV per atom

Cell lengths 6.951, 6.951, 13.717 Å; angles 90.00, 90.00, 147.02 degrees
Fractional positions:
Dy1 0.127 0.873 0.750
Dy2 0.873 0.127 0.250
Er1 0.370 0.630 0.570
Er2 0.370 0.630 0.930
Er3 0.630 0.370 0.070
Er4 0.630 0.370 0.430
Se1 0.000 0.000 0.000
Se2 0.000 0.000 0.500
Se3 0.277 0.723 0.122
Se4 0.277 0.723 0.378
Se5 0.470 0.530 0.750
Se6 0.530 0.470 0.250
Se7 0.723 0.277 0.622
Se8 0.723 0.277 0.878

---

No. 4
The following is a DFT calculation (PBE-GGA) of a geometry-optimized PrHf2Al6 structure.

Output
Space group = Immm
Formation energy from the elements = -251 meV/atom

Cell lengths 7.656, 7.656, 7.656 Å; angles 147.55, 126.03, 64.40 degrees
Fractional positions:
Pr1 0.000 0.000 0.000
Hf1 0.383 0.883 0.500
Hf2 0.617 0.117 0.500
Al1 0.018 0.308 0.710
Al2 0.320 0.500 0.820
Al3 0.402 0.692 0.710
Al4 0.598 0.308 0.290
Al5 0.680 0.500 0.180
Al6 0.982 0.692 0.290

---

No. 5
The following is a DFT calculation (PBE-GGA) of a geometry-optimized MgTi2NbCo structure.

Output
Space group = P4/mmm
Formation energy from the elements = 345 meV/atom
Energy above the most stable polymorph in this dataset = 0 meV/atom

Cell lengths 4.538, 4.538, 4.667 Å; angles 90.00, 90.00, 90.00 degrees
Fractional positions:
Mg1 0.000 0.000 0.000
Ti1 0.000 0.500 0.500
Ti2 0.500 0.000 0.500
Nb1 0.500 0.500 0.000
Co1 0.500 0.500 0.500

---

No. 6
The following is a DFT calculation (PBE-GGA) of a geometry-optimized BaAu structure.

Output
Space group = P-6m2
Formation energy from the elements = -596 meV/atom

Cell lengths 4.553, 4.553, 4.272 Å; angles 90.00, 90.00, 120.00 degrees
Fractional positions:
Ba1 0.000 0.000 0.000
Au1 0.333 0.667 0.500

---

No. 7
The following is a DFT calculation (PBE-GGA) of a geometry-optimized TbMg4Sc5 structure.

Output
Space group = P4/mmm
Formation energy from the elements = -19 meV/atom

Cell lengths 3.545, 3.545, 19.295 Å; angles 90.00, 90.00, 90.00 degrees
Fractional positions:
Tb1 0.000 0.000 0.000
Mg1 0.000 0.000 0.214
Mg2 0.000 0.000 0.404
Mg3 0.000 0.000 0.596
Mg4 0.000 0.000 0.786
Sc1 0.500 0.500 0.119
Sc2 0.500 0.500 0.309
Sc3 0.500 0.500 0.500
Sc4 0.500 0.500 0.691
Sc5 0.500 0.500 0.881

---

No. 8
The following is a DFT calculation (PBE-GGA) of a geometry-optimized BeTeAs2 structure.

Output
Space group = Immm
ΔE_f (raw) = 0.278 eV per atom
Energy above the most stable polymorph in this dataset = 223 meV/atom

Cell lengths 5.724, 5.724, 5.724 Å; angles 142.63, 123.46, 69.75 degrees
Fractional positions:
Be1 0.000 0.000 0.000
Te1 0.500 0.500 0.000
As1 0.140 0.640 0.500
As2 0.860 0.360 0.500

---

No. 9
The following is a DFT calculation (PBE-GGA) of a geometry-optimized Pm2NpCdO8 structure.

Output
Space group = P-1
ΔE_f (raw) = -2.484 eV per atom

Cell lengths 3.991, 5.341, 7.872 Å; angles 89.90, 89.97, 83.99 degrees
Fractional positions:
Pm1 0.000 0.001 0.252
Pm2 0.000 0.999 0.748
Np1 0.500 0.500 0.500
Cd1 0.500 0.500 0.000
O1 0.027 0.753 0.000
O2 0.053 0.727 0.500
O3 0.460 0.263 0.706
O4 0.460 0.264 0.293
O5 0.540 0.736 0.707
O6 0.540 0.737 0.294
O7 0.947 0.273 0.500
O8 0.973 0.247 0.000

---

No. 10
The following is a DFT calculation (PBE-GGA) of a geometry-optimized BeInOs structure.

Output
Space group = Fmm2
Formation energy from the elements = 571 meV/atom
Energy above the most stable polymorph in this dataset = 436 meV/atom

Cell lengths 6.672, 6.444, 2.839 Å; angles 82.04, 73.04, 24.92 degrees
Fractional positions:
Be1 0.000 0.000 0.000
In1 0.317 0.317 0.683
Os1 0.626 0.626 0.374

---

No. 11
The following is a DFT calculation (PBE-GGA) of a geometry-optimized CaNdPd6 structure.

Output
Space group = Pm-3
Formation energy from the elements = -438 meV/atom
Energy above the most stable polymorph in this dataset = 172 meV/atom

Cell lengths 5.327, 5.327, 5.327 Å; angles 90.00, 90.00, 90.00 degrees
Fractional positions:
Ca1 0.000 0.000 0.000
Nd1 0.500 0.500 0.500
Pd1 0.000 0.249 0.500
Pd2 0.000 0.751 0.500
Pd3 0.249 0.500 0.000
Pd4 0.500 0.000 0.249
Pd5 0.500 0.000 0.751
Pd6 0.751 0.500 0.000

---

No. 12
The following is a DFT calculation (PBE-GGA) of a geometry-optimized TbPuMgTc structure.

Output
Space group = F-43m
Formation energy from the elements = 141 meV/atom

Cell lengths 5.012, 5.012, 5.012 Å; angles 60.00, 60.00, 60.00 degrees
Fractional positions:
Tb1 0.000 0.000 0.000
Pu1 0.500 0.500 0.500
Mg1 0.250 0.250 0.250
Tc1 0.750 0.750 0.750